Entry 1:
Here is crystalline CuHg2Mo at its relaxed geometry from Alexandria. Energies are from PBE-GGA.

a = 5.005 Å, b = 5.005 Å, c = 5.005 Å
α = 129.51°, β = 129.51°, γ = 74.19°
Element x y z (fractional)
Cu  0.000  0.000  0.000
Hg  0.250  0.750  0.500
Hg  0.500  0.500  0.000
Mo  0.750  0.250  0.500

Summary:
Symmetry: I-4m2 (119)
Energy of formation from the pure elements (meV/atom): 684
Relative energy among the computed polymorphs (kJ/mol of atoms): 26.9

***

Entry 2:
Here is crystalline PuNp4N5 at its relaxed geometry from Alexandria. Energies are from PBE-GGA.

a = 5.985 Å, b = 5.985 Å, c = 5.985 Å
α = 99.59°, β = 99.59°, γ = 131.81°
Element x y z (fractional)
Pu  0.000  0.000  0.000
Np  0.200  0.399  0.599
Np  0.399  0.800  0.199
Np  0.601  0.200  0.801
Np  0.800  0.601  0.401
N  0.101  0.697  0.798
N  0.303  0.101  0.404
N  0.500  0.500  0.000
N  0.697  0.899  0.596
N  0.899  0.303  0.202

Summary:
Symmetry: I4/m (87)
Formation energy (no corrections) (kJ/mol of formula units): -1094

***

Entry 3:
Here is crystalline La2PrScSe4 at its relaxed geometry from Alexandria. Energies are from PBE-GGA.

a = 7.275 Å, b = 4.158 Å, c = 7.330 Å
α = 90.00°, β = 108.96°, γ = 90.00°
Element x y z (fractional)
La  0.000  0.000  0.000
La  0.000  0.500  0.500
Pr  0.500  0.000  0.500
Sc  0.500  0.500  0.000
Se  0.263  0.500  0.239
Se  0.273  0.000  0.772
Se  0.727  0.000  0.228
Se  0.737  0.500  0.761

Summary:
Symmetry: P2/m (10)
Formation energy (no corrections) (kJ/mol of formula units): -1409

***

Entry 4:
Here is crystalline CaMnCuSi at its relaxed geometry from Alexandria. Energies are from PBE-GGA.

a = 4.185 Å, b = 4.185 Å, c = 5.643 Å
α = 111.77°, β = 111.77°, γ = 59.80°
Element x y z (fractional)
Ca  0.000  0.000  0.000
Mn  0.505  0.505  0.515
Cu  0.804  0.804  0.415
Si  0.200  0.200  0.598

Summary:
Symmetry: Cm (8)
Formation energy (no corrections) (kJ/mol of formula units): -59
Relative energy among the computed polymorphs (kJ/mol of atoms): 0.0

***

Entry 5:
Here is crystalline LaTbNd2Dy5 at its relaxed geometry from Alexandria. Energies are from PBE-GGA.

a = 9.976 Å, b = 9.976 Å, c = 9.976 Å
α = 127.86°, β = 127.86°, γ = 76.86°
Element x y z (fractional)
La  0.250  0.250  0.000
La  0.750  0.750  0.000
Tb  0.250  0.750  0.500
Tb  0.750  0.250  0.500
Nd  0.117  0.617  0.735
Nd  0.383  0.117  0.500
Nd  0.617  0.883  0.500
Nd  0.883  0.383  0.265
Dy  0.000  0.000  0.000
Dy  0.072  0.154  0.500
Dy  0.154  0.654  0.082
Dy  0.346  0.428  0.500
Dy  0.428  0.928  0.082
Dy  0.500  0.500  0.000
Dy  0.572  0.072  0.918
Dy  0.654  0.572  0.500
Dy  0.846  0.346  0.918
Dy  0.928  0.846  0.500

Summary:
Symmetry: I4/mcm (140)
Energy of formation from the pure elements (meV/atom): 256

***

Entry 6:
Here is crystalline La2HgSb at its relaxed geometry from Alexandria. Energies are from PBE-GGA.

a = 5.494 Å, b = 5.494 Å, c = 5.494 Å
α = 60.00°, β = 60.00°, γ = 60.00°
Element x y z (fractional)
La  0.000  0.000  0.000
La  0.250  0.250  0.250
Hg  0.750  0.750  0.750
Sb  0.500  0.500  0.500

Summary:
Symmetry: F-43m (216)
Formation energy (no corrections) (kJ/mol of formula units): -96
Relative energy among the computed polymorphs (kJ/mol of atoms): 56.3

***

Entry 7:
Here is crystalline TcIr2PtRh2 at its relaxed geometry from Alexandria. Energies are from PBE-GGA.

a = 8.802 Å, b = 8.960 Å, c = 2.683 Å
α = 90.00°, β = 90.00°, γ = 90.00°
Element x y z (fractional)
Tc  0.000  0.000  0.000
Tc  0.500  0.500  0.500
Ir  0.247  0.064  0.500
Ir  0.253  0.564  0.000
Ir  0.747  0.436  0.000
Ir  0.753  0.936  0.500
Pt  0.000  0.500  0.500
Pt  0.500  0.000  0.000
Rh  0.134  0.783  0.500
Rh  0.366  0.283  0.000
Rh  0.634  0.717  0.000
Rh  0.866  0.217  0.500

Summary:
Symmetry: Pnnm (58)
Energy of formation from the pure elements (meV/atom): 505

***

Entry 8:
Here is crystalline PuPaIn at its relaxed geometry from Alexandria. Energies are from PBE-GGA.

a = 6.941 Å, b = 6.941 Å, c = 6.941 Å
α = 90.00°, β = 90.00°, γ = 90.00°
Element x y z (fractional)
Pu  0.217  0.283  0.717
Pu  0.283  0.717  0.217
Pu  0.717  0.217  0.283
Pu  0.783  0.783  0.783
Pa  0.014  0.514  0.986
Pa  0.486  0.486  0.486
Pa  0.514  0.986  0.014
Pa  0.986  0.014  0.514
In  0.040  0.040  0.040
In  0.460  0.960  0.540
In  0.540  0.460  0.960
In  0.960  0.540  0.460

Summary:
Symmetry: P2_13 (198)
Energy of formation from the pure elements (meV/atom): 448
Relative energy among the computed polymorphs (kJ/mol of atoms): 43.1